MgCr2Br | PBE | optimized geometry

The calculation puts the density at 4.2 Mg/m³. The energy above the lowest structure with this stoichiometry comes out at 359 meV per atom. Its total magnetic moment is 9.12 μB per formula unit. For the total energy, the calculation gives -20.345 eV per formula unit.

a = 3.5239 Å, b = 3.5239 Å, c = 6.6809 Å
α = 90.00°, β = 90.00°, γ = 90.00°
With the nearest neighbours (Å) after each atom.
Space group P4/mmm (No. 123)
Unique sites:
Mg (0.0000, 0.0000, 0.0000) x1  8 Cr 2.94
Cr (0.5000, 0.5000, 0.2332) x2  4 Mg 2.94, 4 Br 3.06, 1 Cr 3.12
Br (0.0000, 0.0000, 0.5000) x1  8 Cr 3.06, 2 Mg 3.34